(1)
# SCAN Be24Fe5, single point on PBEsol structure
# ΔE_f   -0.152 eV/atom
# DFT total energy   -399.08 eV for the cell shown
# Magnetic moment   13.67 μB per cell
data_Be24Fe5
_chemical_formula_sum 'Be48 Fe10'
_cell_length_a 7.749
_cell_length_b 7.749
_cell_length_c 7.749
_cell_angle_alpha 90.00
_cell_angle_beta 90.00
_cell_angle_gamma 90.00
_space_group_name_H-M_alt 'I -4 3 m'
_space_group_IT_number 217
_space_group_name_Hall 'I -4 2 3'
loop_
_atom_site_label
_atom_site_fract_x
_atom_site_fract_y
_atom_site_fract_z
Be1 0.038 0.353 0.647
Be2 0.091 0.091 0.722
Fe1 0.000 0.000 0.000
Fe2 0.190 0.190 0.190


(2)
# SCAN BeFe2, single point on PBEsol structure
# ΔE_f   -0.050 eV/atom
# DFT total energy   -81.52 eV for the cell shown
# Magnetic moment   8.76 μB per cell
data_BeFe2
_chemical_formula_sum 'Be2 Fe4'
_cell_length_a 2.368
_cell_length_b 3.462
_cell_length_c 7.148
_cell_angle_alpha 90.00
_cell_angle_beta 90.00
_cell_angle_gamma 90.00
_space_group_name_H-M_alt 'I m m m'
_space_group_IT_number 71
_space_group_name_Hall '-I 2 2'
loop_
_atom_site_label
_atom_site_fract_x
_atom_site_fract_y
_atom_site_fract_z
Be1 0.000 0.000 0.000
Fe1 0.000 0.000 0.339


(3)
# SCAN Hf2BeGaFe, single point on PBEsol structure
# ΔE_f   0.468 eV/atom
# DFT total energy   -161.84 eV for the cell shown
# Magnetic moment   0.00 μB per cell
data_Hf2BeGaFe
_chemical_formula_sum 'Hf2 Be1 Ga1 Fe1'
_cell_length_a 4.592
_cell_length_b 4.592
_cell_length_c 4.424
_cell_angle_alpha 90.00
_cell_angle_beta 90.00
_cell_angle_gamma 90.00
_space_group_name_H-M_alt 'P 4/m m m'
_space_group_IT_number 123
_space_group_name_Hall '-P 4 2'
loop_
_atom_site_label
_atom_site_fract_x
_atom_site_fract_y
_atom_site_fract_z
Hf1 0.000 0.500 0.000
Be1 0.000 0.000 0.500
Ga1 0.500 0.500 0.500
Fe1 0.500 0.500 0.000


> magnetic moment of number 1 (Be24Fe5)?

13.67 μB per cell


> Number 1 is which compound?

Be24Fe5